Entry from Alexandria via LeMat-Bulk: a geometry-optimized DyV2AgO8 structure (PBE with a Hubbard U).

Output
* volume: 15.31 Å³/atom
* VASP energy: -6.90 eV per atom
* total magnetization: 2.06 μB/cell

Unit cell a=5.8697 b=5.8697 c=6.1574 alpha=90.00 beta=90.00 gamma=120.00
Space group P-3m1 (No. 164)
One atom of each set of equivalent atoms:
1 Dy 0.0000 0.0000 0.0000 x1
2 V 0.3333 0.6667 0.6652 x2
3 Ag 0.0000 0.0000 0.5000 x1
4 O 0.1649 0.3298 0.7518 x6
5 O 0.3333 0.6667 0.3996 x2

***

Entry from Alexandria via LeMat-Bulk: a geometry-optimized DyVAgO4 structure (PBE with a Hubbard U).

Output
* volume: 16.89 Å³/atom
* VASP energy: -7.01 eV per atom
* total magnetization: 2.00 μB/cell

Unit cell a=5.9824 b=6.1360 c=6.8497 alpha=90.00 beta=109.90 gamma=90.00
Space group P2_1/m (No. 11)
One atom of each set of equivalent atoms:
1 Dy 0.1843 0.2500 0.0381 x2
2 V 0.2562 0.7500 0.8128 x2
3 Ag 0.4705 0.7500 0.3720 x2
4 O 0.0514 0.5324 0.8226 x4
5 O 0.4745 0.7500 0.6804 x2
6 O 0.4908 0.7500 0.0704 x2